[1]
This record from Alexandria via LeMat-Bulk describes crystalline TiCo3I at its relaxed geometry. The functional is PBE.

## Properties
ΔE to the lowest computed polymorph ... 206.3 meV per atom
ΔE_f (raw) ... 1.400 eV/atom

```
TiCo3I
1.0
-4.251 1.449 0.359
-1.459 -3.804 -1.922
-0.316 -1.930 4.059
I Co Ti
1 3 1
Direct
0.000 0.000 0.000
0.000 0.500 0.000
0.000 0.000 0.500
0.500 0.000 0.000
0.500 0.500 0.500
```

=====

[2]
This record from Alexandria via LeMat-Bulk describes crystalline GaHgCl2 at its relaxed geometry. The functional is PBE.

## Properties
ΔE to the lowest computed polymorph ... 267.4 meV per atom
ΔE_f (raw) ... -0.341 eV/atom

```
GaHgCl2
1.0
0.000 3.656 3.656
3.656 0.000 3.656
3.656 3.656 0.000
Hg Ga Cl
1 1 2
Direct
0.500 0.500 0.500
0.000 0.000 0.000
0.250 0.250 0.250
0.750 0.750 0.750
```

=====

[3]
This record from Alexandria via LeMat-Bulk describes crystalline Cs4Cd5Sb6 at its relaxed geometry. The functional is PBE.

## Properties
ΔE_f (raw) ... -0.261 eV/atom

```
Cs4Cd5Sb6
1.0
4.804 0.000 0.000
-2.402 12.508 0.000
0.000 0.000 20.575
Cs Cd Sb
8 10 12
Direct
0.993 0.985 0.210
0.007 0.015 0.710
0.194 0.388 0.333
0.806 0.612 0.833
0.849 0.697 0.448
0.151 0.303 0.948
0.029 0.058 0.480
0.971 0.942 0.980
0.388 0.776 0.709
0.612 0.224 0.209
0.152 0.304 0.630
0.848 0.696 0.130
0.684 0.367 0.533
0.316 0.633 0.033
0.275 0.551 0.653
0.725 0.449 0.153
0.367 0.734 0.245
0.633 0.266 0.745
0.801 0.602 0.263
0.452 0.903 0.350
0.757 0.515 0.017
0.243 0.485 0.517
0.439 0.878 0.836
0.561 0.122 0.336
0.413 0.826 0.107
0.587 0.174 0.607
0.146 0.292 0.141
0.854 0.708 0.641
0.548 0.097 0.850
0.199 0.398 0.763
```

=====

[4]
This record from Alexandria via LeMat-Bulk describes crystalline Ba2Sn2Br at its relaxed geometry. The functional is PBE.

## Properties
ΔE to the lowest computed polymorph ... 0.0 meV per atom
ΔE_f (raw) ... -1.054 eV/atom

```
Ba2Sn2Br
1.0
-4.213 -1.160 2.241
0.616 -1.613 -4.597
6.428 -6.220 3.063
Ba Sn Br
2 2 1
Direct
0.825 0.407 0.232
0.175 0.593 0.768
0.360 0.184 0.544
0.640 0.816 0.456
0.000 0.000 0.000
```

=====

[5]
This record from Alexandria via LeMat-Bulk describes crystalline Ho4HgAuSe2 at its relaxed geometry. The functional is PBE.

## Properties
ΔE_f (raw) ... -1.163 eV/atom

```
Ho4HgAuSe2
1.0
-2.846 -2.316 -1.523
3.418 -6.262 3.138
-2.659 -0.845 6.255
Ho Hg Au Se
4 1 1 2
Direct
0.000 0.756 0.754
0.000 0.244 0.246
0.500 0.765 0.240
0.500 0.235 0.760
0.000 0.500 0.500
0.500 0.500 0.000
0.000 0.000 0.000
0.500 0.000 0.500
```

=====

[6]
This record from Alexandria via LeMat-Bulk describes crystalline CaYMgZn at its relaxed geometry. The functional is PBE.

## Properties
Formation energy from the elements ... -194 meV/atom

```
CaYMgZn
1.0
3.683 0.000 0.000
0.000 3.683 0.000
0.000 0.000 7.815
Ca Y Mg Zn
1 1 1 1
Direct
0.000 0.000 0.881
0.000 0.000 0.329
0.500 0.500 0.596
0.500 0.500 0.122
```

=====

[7]
This record from Alexandria via LeMat-Bulk describes crystalline Mg5Ru4 at its relaxed geometry. The functional is PBE.

## Properties
ΔE to the lowest computed polymorph ... 100.5 meV per atom
Formation energy from the elements ... 188 meV/atom

```
Mg5Ru4
1.0
7.877 0.000 0.000
3.938 6.822 0.000
0.000 0.000 5.334
Ru Mg
8 10
Direct
0.000 0.000 0.000
0.000 0.000 0.500
0.653 0.347 0.250
0.000 0.653 0.250
0.347 0.000 0.250
0.347 0.653 0.750
0.000 0.347 0.750
0.653 0.000 0.750
0.312 0.688 0.250
0.000 0.312 0.250
0.688 0.000 0.250
0.688 0.312 0.750
0.000 0.688 0.750
0.312 0.000 0.750
0.333 0.333 0.000
0.667 0.667 0.500
0.667 0.667 0.000
0.333 0.333 0.500
```

=====

[8]
This record from Alexandria via LeMat-Bulk describes crystalline Ga2TcRu at its relaxed geometry. The functional is PBE.

## Properties
ΔE to the lowest computed polymorph ... 29.8 meV per atom
Formation energy from the elements ... -127 meV/atom

```
Ga2TcRu
1.0
0.000 3.080 3.080
3.080 0.000 3.080
3.080 3.080 0.000
Ru Tc Ga
1 1 2
Direct
0.500 0.500 0.500
0.000 0.000 0.000
0.250 0.250 0.250
0.750 0.750 0.750
```